Material: Dy2SeN
Method: DFT, PBE
State: relaxed

abc: 6.952 6.952 6.952
angles: 30.42 30.42 30.42
Fractional positions:
Dy: 0.000 0.000 0.000
Dy: 0.202 0.202 0.202
Se: 0.767 0.767 0.767
N: 0.597 0.597 0.597

Properties
E_form (uncorrected): -1.676 eV/atom
ρ: 9.09 g/cm³


Material: NdY2HgO
Method: DFT, PBE
State: relaxed

abc: 4.795 4.795 4.942
angles: 90.00 90.00 90.00
Fractional positions:
Nd: 0.000 0.000 0.000
Y: 0.000 0.500 0.500
Y: 0.500 0.000 0.500
Hg: 0.500 0.500 0.000
O: 0.000 0.000 0.500

Properties
E_form (uncorrected): -1.366 eV/atom
ρ: 7.87 g/cm³